The following is a PBE calculation of Tl2CrSb after structural relaxation, from Alexandria.

Output
Raw total energy, eV per atom: -4.226
Theoretical density, g/cm3: 9.24
Magnetic moment, Bohr magnetons per cell: 4.5

abc: 5.5540 5.5540 5.5540
angles: 127.47 127.47 77.49
Last column: nearest neighbours and their distance in Å.
Fractional positions:
Cr 0.5000 0.5000 0.0000  8 Tl 3.28-3.48, 4 Sb 3.28
Sb 0.7500 0.2500 0.5000  8 Tl 3.28-3.48, 4 Cr 3.28
Tl 0.0000 0.0000 0.0000  4 Sb 3.28, 4 Tl 3.28, 4 Cr 3.48
Tl 0.2500 0.7500 0.5000  4 Tl 3.28, 4 Cr 3.28, 4 Sb 3.48